Run P
This record from Alexandria via LeMat-Bulk describes an optimized crystal structure of Li2PtCl. The functional is PBE-GGA.

Unit cell a=3.004 b=4.515 c=4.515 alpha=90.00 beta=90.00 gamma=90.00
Element x y z (fractional)
Cl 0.500 0.000 0.500
Li 0.000 0.500 0.500
Pt 0.500 0.500 0.000
Li 0.000 0.000 0.000

space group = P4/mmm (123)


Run Q
This record from Alexandria via LeMat-Bulk describes an optimized crystal structure of Li2PtCl. The functional is PBE-GGA.

Unit cell a=4.612 b=4.612 c=4.612 alpha=125.18 beta=125.18 gamma=81.24
Element x y z (fractional)
Li 0.500 0.500 0.000
Pt 0.250 0.750 0.500
Cl 0.750 0.250 0.500
Li 0.000 0.000 0.000

space group = I4/mmm (139)


Which structure is most stable? run P, by 0.195 eV/atom over the runner-up.